Entry one
This record from Alexandria via LeMat-Bulk describes CaEr2Fe after structural relaxation. The functional is GGA-PBE.

The value obtained for the density of states at the Fermi level is 0.731 states/eV per atom.

The structure belongs to space group P4/mmm (No. 123); the cell edges are 3.346, 3.346 and 9.450 Å and the angles 90.00°, 90.00° and 90.00°. The asymmetric unit holds Ca at (0.000, 0.000, 0.000), Er at (0.500, 0.500, 0.332) and Fe at (0.000, 0.000, 0.500).



Entry two
This record from Alexandria via LeMat-Bulk describes CaEr2Fe after structural relaxation. The functional is GGA-PBE.

The value obtained for the density of states at the Fermi level is 0.964 states/eV per atom.

The structure belongs to space group R-3m (No. 166, hexagonal axes); the cell edges are 3.6281, 3.6281 and 31.1626 Å and the angles 90.00°, 90.00° and 120.00°. The asymmetric unit holds Ca at (0.0000, 0.0000, 0.0000), Er at (0.0000, 0.0000, 0.1137) and Fe at (0.0000, 0.0000, 0.5000).



Of them, entry two has the lowest stability.